A plane-wave DFT calculation with GGA-PBE was carried out for Sm2ErH8 after structural relaxation.

Unit cell a=3.7272 b=5.1726 c=6.4266 alpha=113.73 beta=106.86 gamma=90.00
Fractional coordinates of all 11 atoms:
Sm  0.1681  0.6681  0.3362
Sm  0.8319  0.3319  0.6638
Er  0.5000  0.0000  0.0000
H  0.6558  0.9010  0.3116
H  0.3442  0.5895  0.6884
H  0.1638  0.1638  0.3276
H  0.0000  0.2547  0.0000
H  0.8362  0.8362  0.6724
H  0.6558  0.4105  0.3116
H  0.3442  0.0990  0.6884
H  0.0000  0.7453  0.0000

Calculated values
- space group = Immm
- DFT total energy (eV/atom) = -4.32
- calculated volume (A^3/atom) = 9.78



A plane-wave DFT calculation with GGA-PBE was carried out for La2Sn6Pd after structural relaxation.

Unit cell a=4.3229 b=7.9376 c=8.6095 alpha=117.45 beta=90.06 gamma=90.00
Fractional coordinates of all 9 atoms:
La  0.5005  0.6811  0.3623
La  0.4995  0.3189  0.6377
Sn  0.0009  0.3407  0.3101
Sn  0.9991  0.0306  0.6899
Sn  0.9991  0.6593  0.6899
Sn  0.5000  0.2263  0.0000
Sn  0.0009  0.9694  0.3101
Sn  0.5000  0.7737  0.0000
Pd  0.0000  0.0000  0.0000

Calculated values
- energy above the lowest structure with this stoichiometry (eV per atom) = 0.152
- formation enthalpy at 0 K (eV/atom) = -0.450
- space group = C2/m
- calculated volume (A^3/atom) = 29.13



A plane-wave DFT calculation with GGA-PBE was carried out for PrDyZn2 after structural relaxation.

Unit cell a=3.6188 b=3.6188 c=7.3645 alpha=90.00 beta=90.00 gamma=90.00
Fractional coordinates of all 4 atoms:
Pr  0.5000  0.5000  0.5000
Zn  0.0000  0.0000  0.7717
Zn  0.0000  0.0000  0.2283
Dy  0.5000  0.5000  0.0000

Calculated values
- energy above the lowest structure with this stoichiometry (eV per atom) = 0.000
- formation enthalpy at 0 K (eV/atom) = -0.317
- space group = P4/mmm
- calculated volume (A^3/atom) = 24.11



A plane-wave DFT calculation with GGA-PBE was carried out for La6HgCl8 after structural relaxation.

Unit cell a=7.1894 b=7.1894 c=11.2575 alpha=71.38 beta=71.38 gamma=60.00
Fractional coordinates of all 15 atoms:
La  0.9432  0.5968  0.1716
La  0.7116  0.0568  0.8284
La  0.4032  0.7116  0.8284
La  0.5968  0.2884  0.1716
La  0.2884  0.9432  0.1716
La  0.0568  0.4032  0.8284
Hg  0.0000  0.0000  0.0000
Cl  0.7918  0.4296  0.6671
Cl  0.8885  0.2082  0.3329
Cl  0.5704  0.8885  0.3329
Cl  0.3334  0.3334  0.9997
Cl  0.6666  0.6666  0.0003
Cl  0.4296  0.1115  0.6671
Cl  0.1115  0.7918  0.6671
Cl  0.2082  0.5704  0.3329

Calculated values
- ΔE_f (raw) (eV/atom) = -1.737
- space group = R-3
- calculated volume (A^3/atom) = 31.23



A plane-wave DFT calculation with GGA-PBE was carried out for TaCuAs2Se after structural relaxation.

Unit cell a=5.0185 b=5.0185 c=4.9471 alpha=90.00 beta=90.00 gamma=90.00
Fractional coordinates of all 5 atoms:
As  0.0000  0.5000  0.0000
As  0.5000  0.0000  0.0000
Cu  0.5000  0.5000  0.5000
Se  0.0000  0.0000  0.5000
Ta  0.0000  0.0000  0.0000

Calculated values
- energy above the lowest structure with this stoichiometry (eV per atom) = 0.000
- ΔE_f (raw) (eV/atom) = 0.517
- space group = P4/mmm
- calculated volume (A^3/atom) = 24.92



A plane-wave DFT calculation with GGA-PBE was carried out for Y6SiP2S3 after structural relaxation.

Unit cell a=3.9980 b=7.9918 c=8.9422 alpha=102.96 beta=102.92 gamma=90.00
Fractional coordinates of all 12 atoms:
Y  0.3348  0.9123  0.6696
Y  0.6689  0.5784  0.3379
Y  0.6652  0.0877  0.3304
Y  0.0013  0.2478  0.0027
Y  0.9987  0.7522  0.9973
Y  0.3311  0.4216  0.6621
Si  0.5000  0.0000  0.0000
P  0.8327  0.6653  0.6654
P  0.1673  0.3347  0.3346
S  0.5000  0.5000  0.0000
S  0.8324  0.1679  0.6647
S  0.1676  0.8321  0.3353

Calculated values
- ΔE_f (raw) (eV/atom) = -1.728
- space group = C2/m
- calculated volume (A^3/atom) = 22.58



A plane-wave DFT calculation with GGA-PBE was carried out for DyTcBr after structural relaxation.

Unit cell a=4.0644 b=4.0644 c=11.9922 alpha=80.24 beta=80.24 gamma=60.00
Fractional coordinates of all 6 atoms:
Dy  0.5616  0.5616  0.3152
Dy  0.4384  0.4384  0.6848
Br  0.2806  0.2806  0.1582
Br  0.7194  0.7194  0.8418
Tc  0.8389  0.8389  0.4833
Tc  0.1611  0.1611  0.5167

Calculated values
- ΔE_f (raw) (eV/atom) = -0.912
- space group = R-3m
- calculated volume (A^3/atom) = 28.04



A plane-wave DFT calculation with GGA-PBE was carried out for Mn2NbCu2 after structural relaxation.

Unit cell a=7.0416 b=7.0416 c=2.8365 alpha=90.00 beta=90.00 gamma=90.00
Fractional coordinates of all 10 atoms:
Nb  0.0000  0.0000  0.0000
Nb  0.5000  0.5000  0.0000
Mn  0.3505  0.8505  0.0000
Mn  0.8505  0.6495  0.0000
Mn  0.6495  0.1495  0.0000
Mn  0.1495  0.3505  0.0000
Cu  0.1459  0.6459  0.5000
Cu  0.6459  0.8541  0.5000
Cu  0.8541  0.3541  0.5000
Cu  0.3541  0.1459  0.5000

Calculated values
- energy above the lowest structure with this stoichiometry (eV per atom) = 0.046
- formation enthalpy at 0 K (eV/atom) = 0.260
- space group = P4/mbm
- calculated volume (A^3/atom) = 14.06



| no. | density of states at the Fermi level (states/eV per atom) | theoretical density (g cm⁻³) | total moment (Bohr magnetons per cell) |
| --- | --- | --- | --- |
| 1 | 0.14 | 7.3 | 0.00 |
| 2 | 0.50 | 6.9 | 0.00 |
| 3 | 1.12 | 7.5 | 0.00 |
| 4 | 0.55 | 4.7 | 0.00 |
| 5 | 0.97 | 6.3 | 0.00 |
| 6 | 0.29 | 4.4 | 0.00 |
| 7 | 0.68 | 6.7 | 0.00 |
| 8 | 1.43 | 7.8 | 11.62 |